# 1
## LiPr2Zn2Cu5 (PBE)

Data for a geometry-optimized LiPr2Zn2Cu5 structure.

The space group is P4/mbm (No. 127) and the conventional cell measures 9.939, 9.939 and 3.644 Å, with angles of 90.00, 90.00 and 90.00 degrees. Symmetry generates all atoms from Li at (0.000, 0.000, 0.000), Pr at (0.179, 0.321, 0.000), Zn at (0.118, 0.618, 0.000), Cu at (0.000, 0.500, 0.500) and Cu at (0.052, 0.800, 0.500).

For the density of states at the Fermi level, the calculation gives 12.401 states/eV per cell. Its formation energy is -0.036 eV/atom.

# 2
## LiPr2ZnCu6 (PBE)

Data for a geometry-optimized LiPr2ZnCu6 structure.

The space group is P-1 (No. 2) and the conventional cell measures 4.957, 6.497 and 6.656 Å, with angles of 80.13, 68.14 and 67.63 degrees. Symmetry generates all atoms from Li at (0.000, 0.000, 0.000), Pr at (0.248, 0.300, 0.204), Zn at (0.500, 0.500, 0.500), Cu at (0.237, 0.766, 0.261), Cu at (0.251, 0.927, 0.570) and Cu at (0.264, 0.234, 0.739).

For the density of states at the Fermi level, the calculation gives 7.245 states/eV per cell. Its formation energy is -0.067 eV/atom.